A plane-wave DFT calculation with PBE was carried out for a geometry-optimized SrAl3Tc structure.

Calculated values
* D(E_F): 3.457 states/eV/f.u.
* total DFT energy (no corrections): -3.909 eV/atom
* excess energy over the best structure of this formula in the dataset: 516 kJ/mol of formula units
* SG: R3m, No. 160

abc: 6.8649 6.8649 6.8649
angles: 46.74 46.74 46.74
With the nearest neighbours (Å) after each atom.
Fractional positions:
Al  0.8221  0.8221  0.3241  1 Tc 2.41
Al  0.3241  0.8221  0.8221  1 Tc 2.41
Al  0.8221  0.3241  0.8221  1 Tc 2.41
Sr  0.8178  0.8178  0.8178  3 Tc 3.34, 6 Al 3.35-3.52
Tc  0.0889  0.0889  0.0889  3 Al 2.41